[1]
Compound: RbLiErF5
Source: Alexandria via LeMat-Bulk
Functional: GGA-PBE
Structure: relaxed

Lattice parameters (Å, degrees): 6.302 6.302 8.276 103.78 103.78 106.95
Fractional positions:
1 Rb 0.162 0.838 0.750
2 Rb 0.838 0.162 0.250
3 Li 0.186 0.814 0.250
4 Li 0.814 0.186 0.750
5 Er 0.500 0.500 0.000
6 Er 0.500 0.500 0.500
7 F 0.135 0.268 0.901
8 F 0.216 0.609 0.393
9 F 0.268 0.135 0.401
10 F 0.391 0.784 0.107
11 F 0.435 0.565 0.750
12 F 0.565 0.435 0.250
13 F 0.609 0.216 0.893
14 F 0.732 0.865 0.599
15 F 0.784 0.391 0.607
16 F 0.865 0.732 0.099

Space group ... C2/c
Uncorrected formation energy ... -3.517 eV per atom

[2]
Compound: BaHgOs2
Source: Alexandria via LeMat-Bulk
Functional: GGA-PBE
Structure: relaxed

Lattice parameters (Å, degrees): 4.949 4.949 4.949 60.00 60.00 60.00
Fractional positions:
1 Ba 0.000 0.000 0.000
2 Hg 0.250 0.250 0.250
3 Os 0.500 0.500 0.500
4 Os 0.750 0.750 0.750

ΔE_f ... 1378 meV per atom
Space group ... F-43m